CaMg7Pb4: relaxed, PBE.

Calculated values
total DFT energy (no corrections)	-2.28	eV per atom

a b c (Å): 12.239 5.842 11.047
angles (deg): 90.00 121.74 90.00
Space group C2/m (No. 12)
One atom of each set of equivalent atoms:
Ca (0.000, 0.000, 0.000)
Mg (0.000, 0.500, 0.000)
Mg (0.108, 0.000, 0.444)
Mg (0.170, 0.500, 0.630)
Mg (0.192, 0.500, 0.912)
Pb (0.091, 0.500, 0.316)
Pb (0.183, 0.000, 0.772)

---

YMnRe2: relaxed, PBE.

Calculated values
E above lowest polymorph	0.3815	eV per atom

a b c (Å): 3.828 3.828 9.378
angles (deg): 90.00 90.00 90.00
Space group I4/mmm (No. 139)
One atom of each set of equivalent atoms:
Y (0.000, 0.000, 0.000)
Mn (0.000, 0.000, 0.500)
Re (0.000, 0.500, 0.250)

---

BaNiTe2: relaxed, PBE.

Calculated values
E_form (uncorrected)	-686	meV per atom

a b c (Å): 5.132 4.481 6.533
angles (deg): 90.00 108.21 90.00
Space group Pm (No. 6)
One atom of each set of equivalent atoms:
Ba (0.000, 0.000, 0.000)
Ni (0.404, 0.500, 0.747)
Te (0.343, 0.000, 0.587)
Te (0.555, 0.500, 0.144)

---

Li2PPt: relaxed, PBE.

Calculated values
total DFT energy (no corrections)	-4.39	eV per atom

a b c (Å): 2.756 3.936 4.915
angles (deg): 90.00 90.00 90.00
Space group Pmmm (No. 47)
One atom of each set of equivalent atoms:
Li (0.000, 0.000, 0.243)
P (0.500, 0.500, 0.000)
Pt (0.500, 0.500, 0.500)

---

Zr3TlFe: relaxed, PBE.

Calculated values
E above lowest polymorph	0.2112	eV per atom

a b c (Å): 4.845 4.845 4.845
angles (deg): 90.00 90.00 90.00
Space group Pm-3m (No. 221)
One atom of each set of equivalent atoms:
Zr (0.000, 0.000, 0.500)
Tl (0.500, 0.500, 0.500)
Fe (0.000, 0.000, 0.000)

---

Tm6SnO12: relaxed, PBE.

Calculated values
E_form (uncorrected)	-3104	meV per atom

a b c (Å): 9.7904 9.7904 9.1848
angles (deg): 90.00 90.00 120.00
Space group R-3 (No. 148, hexagonal axes)
One atom of each set of equivalent atoms:
Tm (0.0507, 0.7900, 0.1526)
Sn (0.0000, 0.0000, 0.5000)
O (0.0383, 0.8178, 0.8992)
O (0.0404, 0.8359, 0.3905)

---

CrTc2Rh: relaxed, PBE.

Calculated values
E above lowest polymorph	0.0253	eV per atom

a b c (Å): 2.698 3.767 5.453
angles (deg): 90.00 90.00 90.00
Space group Pmmm (No. 47)
One atom of each set of equivalent atoms:
Cr (0.000, 0.000, 0.000)
Tc (0.500, 0.500, 0.229)
Rh (0.000, 0.000, 0.500)

---

CsTlPb3Au: relaxed, PBE.

Calculated values
total DFT energy (no corrections)	-2.98	eV per atom

a b c (Å): 7.454 16.334 7.324
angles (deg): 90.00 90.00 90.00
Space group Cmcm (No. 63)
One atom of each set of equivalent atoms:
Cs (0.000, 0.216, 0.250)
Tl (0.000, 0.141, 0.750)
Pb (0.000, 0.376, 0.750)
Pb (0.231, 0.000, 0.000)
Au (0.000, 0.430, 0.250)

---

Ta2NbC: relaxed, PBE.

Calculated values
total DFT energy (no corrections)	-10.65	eV per atom

a b c (Å): 7.434 7.434 4.634
angles (deg): 90.00 90.00 90.00
Space group I-42d (No. 122)
One atom of each set of equivalent atoms:
Ta (0.134, 0.250, 0.125)
Nb (0.000, 0.000, 0.500)
C (0.000, 0.000, 0.000)

---

Rb5H4Br: relaxed, PBE.

Calculated values
total DFT energy (no corrections)	-2.46	eV per atom

a b c (Å): 14.597 4.386 10.946
angles (deg): 90.00 119.03 90.00
Space group C2/m (No. 12)
One atom of each set of equivalent atoms:
Rb (0.000, 0.000, 0.000)
Rb (0.111, 0.500, 0.378)
Rb (0.208, 0.000, 0.818)
H (0.098, 0.500, 0.906)
H (0.197, 0.000, 0.286)
Br (0.000, 0.000, 0.500)

---

DyHo2Zn3: relaxed, PBE.

Calculated values
total DFT energy (no corrections)	-3.27	eV per atom

a b c (Å): 5.0326 5.0326 6.1669
angles (deg): 90.00 90.00 120.00
Space group P-3m1 (No. 164)
One atom of each set of equivalent atoms:
Dy (0.0000, 0.0000, 0.0000)
Ho (0.3333, 0.6667, 0.6652)
Zn (0.0000, 0.0000, 0.5000)
Zn (0.3333, 0.6667, 0.1663)

---

PaAl5Co: relaxed, PBE.

Calculated values
total DFT energy (no corrections)	-5.43	eV per atom

a b c (Å): 4.238 4.238 6.874
angles (deg): 90.00 90.00 90.00
Space group P4/mmm (No. 123)
One atom of each set of equivalent atoms:
Pa (0.000, 0.000, 0.000)
Al (0.000, 0.500, 0.311)
Al (0.500, 0.500, 0.000)
Co (0.000, 0.000, 0.500)

---

NaScTa2H: relaxed, PBE.

Calculated values
total DFT energy (no corrections)	-6.50	eV per atom

a b c (Å): 4.086 4.086 4.977
angles (deg): 90.00 90.00 90.00
Space group P4/mmm (No. 123)
One atom of each set of equivalent atoms:
Na (0.000, 0.000, 0.000)
Sc (0.500, 0.500, 0.000)
Ta (0.000, 0.500, 0.500)
H (0.500, 0.500, 0.500)

---

PaTiGa5Ni2: relaxed, PBE.

Calculated values
total DFT energy (no corrections)	-5.07	eV per atom

a b c (Å): 4.602 4.602 7.185
angles (deg): 90.00 90.00 90.00
Space group P4/mmm (No. 123)
One atom of each set of equivalent atoms:
Pa (0.000, 0.000, 0.000)
Ti (0.000, 0.000, 0.500)
Ga (0.000, 0.500, 0.286)
Ga (0.500, 0.500, 0.000)
Ni (0.500, 0.500, 0.337)

---

HoAl2In: relaxed, PBE.

Calculated values
total DFT energy (no corrections)	-3.80	eV per atom

a b c (Å): 4.5894 4.5894 14.9552
angles (deg): 90.00 90.00 120.00
Space group R-3m (No. 166, hexagonal axes)
One atom of each set of equivalent atoms:
Ho (0.0000, 0.0000, 0.0000)
Al (0.0000, 0.0000, 0.2211)
In (0.0000, 0.0000, 0.5000)

---

MnAgSb2: relaxed, PBE.

Calculated values
E_form (uncorrected)	258	meV per atom

a b c (Å): 4.780 4.780 17.376
angles (deg): 90.00 90.00 90.00
Space group I-42d (No. 122)
One atom of each set of equivalent atoms:
Mn (0.000, 0.000, 0.000)
Ag (0.000, 0.000, 0.500)
Sb (0.227, 0.250, 0.125)

---

MgCoNi2B: relaxed, PBE.

Calculated values
E above lowest polymorph	0.0000	eV per atom

a b c (Å): 3.856 3.856 3.826
angles (deg): 90.00 90.00 90.00
Space group P4/mmm (No. 123)
One atom of each set of equivalent atoms:
Mg (0.000, 0.000, 0.000)
Co (0.500, 0.500, 0.000)
Ni (0.000, 0.500, 0.500)
B (0.500, 0.500, 0.500)